(1)
# Na3Zn2SnO6 | the Alexandria database | PBE | optimized geometry
data_Na3Zn2SnO6
_space_group_name_H-M_alt 'P 1'
_space_group_IT_number 1
_cell_length_a 5.446
_cell_length_b 5.446
_cell_length_c 5.757
_cell_angle_alpha 99.02
_cell_angle_beta 99.02
_cell_angle_gamma 120.03
loop_
_space_group_symop_operation_xyz
'x,y,z'
loop_
_atom_site_label
_atom_site_type_symbol
_atom_site_fract_x
_atom_site_fract_y
_atom_site_fract_z
Na1 Na 0.173 0.827 0.500
Na2 Na 0.827 0.173 0.500
Na3 Na 0.500 0.500 0.500
Zn1 Zn 0.334 0.666 0.000
Zn2 Zn 0.666 0.334 0.000
Sn1 Sn 0.000 0.000 0.000
O1 O 0.931 0.604 0.792
O2 O 0.743 0.743 0.208
O3 O 0.069 0.396 0.208
O4 O 0.604 0.931 0.792
O5 O 0.257 0.257 0.792
O6 O 0.396 0.069 0.208
# E_form (uncorrected), meV per atom: -1466
# SG: C2/m, No. 12

(2)
# VIn4Br6 | the Alexandria database | PBE | optimized geometry
data_VIn4Br6
_space_group_name_H-M_alt 'P 1'
_space_group_IT_number 1
_cell_length_a 8.560
_cell_length_b 8.560
_cell_length_c 9.593
_cell_angle_alpha 90.00
_cell_angle_beta 90.00
_cell_angle_gamma 90.00
loop_
_space_group_symop_operation_xyz
'x,y,z'
loop_
_atom_site_label
_atom_site_type_symbol
_atom_site_fract_x
_atom_site_fract_y
_atom_site_fract_z
V1 V 0.500 0.500 0.000
V2 V 0.000 0.000 0.500
In1 In 0.354 0.146 0.250
In2 In 0.146 0.646 0.750
In3 In 0.646 0.854 0.750
In4 In 0.854 0.354 0.750
In5 In 0.354 0.146 0.750
In6 In 0.146 0.646 0.250
In7 In 0.854 0.354 0.250
In8 In 0.646 0.854 0.250
Br1 Br 0.276 0.856 0.500
Br2 Br 0.776 0.644 0.000
Br3 Br 0.644 0.224 0.000
Br4 Br 0.144 0.276 0.500
Br5 Br 0.000 0.000 0.226
Br6 Br 0.500 0.500 0.274
Br7 Br 0.356 0.776 0.000
Br8 Br 0.000 0.000 0.774
Br9 Br 0.224 0.356 0.000
Br10 Br 0.500 0.500 0.726
Br11 Br 0.856 0.724 0.500
Br12 Br 0.724 0.144 0.500
# E_form (uncorrected), meV per atom: -698
# SG: P4/mnc, No. 128

(3)
# K2Au2I | the Alexandria database | PBE | optimized geometry
data_K2Au2I
_space_group_name_H-M_alt 'P 1'
_space_group_IT_number 1
_cell_length_a 9.287
_cell_length_b 9.287
_cell_length_c 4.474
_cell_angle_alpha 90.00
_cell_angle_beta 90.00
_cell_angle_gamma 90.00
loop_
_space_group_symop_operation_xyz
'x,y,z'
loop_
_atom_site_label
_atom_site_type_symbol
_atom_site_fract_x
_atom_site_fract_y
_atom_site_fract_z
I1 I 0.000 0.000 0.000
I2 I 0.500 0.500 0.000
K1 K 0.319 0.819 0.000
K2 K 0.819 0.681 0.000
K3 K 0.681 0.181 0.000
K4 K 0.181 0.319 0.000
Au1 Au 0.102 0.602 0.500
Au2 Au 0.602 0.898 0.500
Au3 Au 0.898 0.398 0.500
Au4 Au 0.398 0.102 0.500
# E_form (uncorrected), meV per atom: -335
# Energy above the most stable polymorph in this dataset, meV per atom: 139
# SG: P4/mbm, No. 127

(4)
# ErZnSn2 | the Alexandria database | PBE | optimized geometry
data_ErZnSn2
_space_group_name_H-M_alt 'P 1'
_space_group_IT_number 1
_cell_length_a 4.364
_cell_length_b 4.605
_cell_length_c 4.605
_cell_angle_alpha 90.00
_cell_angle_beta 90.00
_cell_angle_gamma 90.00
loop_
_space_group_symop_operation_xyz
'x,y,z'
loop_
_atom_site_label
_atom_site_type_symbol
_atom_site_fract_x
_atom_site_fract_y
_atom_site_fract_z
Zn1 Zn 0.500 0.000 0.000
Sn1 Sn 0.000 0.000 0.500
Sn2 Sn 0.000 0.500 0.000
Er1 Er 0.500 0.500 0.500
# ΔE_f, eV per atom: -0.39
# SG: P4/mmm, No. 123

(5)
# InCuSb2 | the Alexandria database | PBE | optimized geometry
data_InCuSb2
_space_group_name_H-M_alt 'P 1'
_space_group_IT_number 1
_cell_length_a 3.428
_cell_length_b 3.428
_cell_length_c 8.472
_cell_angle_alpha 90.00
_cell_angle_beta 90.00
_cell_angle_gamma 103.06
loop_
_space_group_symop_operation_xyz
'x,y,z'
loop_
_atom_site_label
_atom_site_type_symbol
_atom_site_fract_x
_atom_site_fract_y
_atom_site_fract_z
Cu1 Cu 0.500 0.500 0.250
In1 In 0.500 0.500 0.750
Sb1 Sb 0.000 0.000 0.053
Sb2 Sb 0.000 0.000 0.447
# E_form (uncorrected), meV per atom: 145
# SG: Cmmm, No. 65

(6)
# LuPuMgAg | the Alexandria database | PBE | optimized geometry
data_LuPuMgAg
_space_group_name_H-M_alt 'P 1'
_space_group_IT_number 1
_cell_length_a 5.217
_cell_length_b 5.217
_cell_length_c 5.217
_cell_angle_alpha 60.00
_cell_angle_beta 60.00
_cell_angle_gamma 60.00
loop_
_space_group_symop_operation_xyz
'x,y,z'
loop_
_atom_site_label
_atom_site_type_symbol
_atom_site_fract_x
_atom_site_fract_y
_atom_site_fract_z
Mg1 Mg 0.750 0.750 0.750
Lu1 Lu 0.500 0.500 0.500
Ag1 Ag 0.250 0.250 0.250
Pu1 Pu 0.000 0.000 0.000
# ΔE_f, eV per atom: 0.07
# SG: F-43m, No. 216

(7)
# Ba2PRhI | the Alexandria database | PBE | optimized geometry
data_Ba2PRhI
_space_group_name_H-M_alt 'P 1'
_space_group_IT_number 1
_cell_length_a 6.010
_cell_length_b 4.982
_cell_length_c 6.010
_cell_angle_alpha 90.00
_cell_angle_beta 90.00
_cell_angle_gamma 90.00
loop_
_space_group_symop_operation_xyz
'x,y,z'
loop_
_atom_site_label
_atom_site_type_symbol
_atom_site_fract_x
_atom_site_fract_y
_atom_site_fract_z
I1 I 0.000 0.500 0.000
P1 P 0.500 0.500 0.500
Rh1 Rh 0.000 0.000 0.000
Ba1 Ba 0.000 0.000 0.500
Ba2 Ba 0.500 0.000 0.000
# E_form (uncorrected), meV per atom: -336
# Energy above the most stable polymorph in this dataset, meV per atom: 658
# SG: P4/mmm, No. 123

(8)
# Sm3DyF | the Alexandria database | PBE | optimized geometry
data_Sm3DyF
_space_group_name_H-M_alt 'P 1'
_space_group_IT_number 1
_cell_length_a 5.119
_cell_length_b 5.119
_cell_length_c 5.119
_cell_angle_alpha 90.00
_cell_angle_beta 90.00
_cell_angle_gamma 90.00
loop_
_space_group_symop_operation_xyz
'x,y,z'
loop_
_atom_site_label
_atom_site_type_symbol
_atom_site_fract_x
_atom_site_fract_y
_atom_site_fract_z
F1 F 0.000 0.000 0.000
Sm1 Sm 0.000 0.500 0.000
Sm2 Sm 0.000 0.000 0.500
Sm3 Sm 0.500 0.000 0.000
Dy1 Dy 0.500 0.500 0.500
# E_form (uncorrected), meV per atom: -962
# SG: Pm-3m, No. 221

Question: Which formula does entry 3 have?
Answer: K2Au2I